Record 1
! PBE Sc2HgBi, relaxed; values from VASP
&SYSTEM
  ibrav = 0, nat = 4, ntyp = 3
/
ATOMIC_SPECIES
Sc 44.96 Sc.upf
Hg 200.59 Hg.upf
Bi 208.98 Bi.upf
CELL_PARAMETERS angstrom
0.0000 3.6902 3.6902
3.6902 0.0000 3.6902
3.6902 3.6902 0.0000
ATOMIC_POSITIONS crystal
Sc 0.0000 0.0000 0.0000
Sc 0.2500 0.2500 0.2500
Hg 0.7500 0.7500 0.7500
Bi 0.5000 0.5000 0.5000
! **Crystal system**: cubic
! **Total DFT energy (no corrections)**: -4.220 eV per atom
! **Space-group type**: F-43m, No. 216

---

Record 2
! PBE Sc4HgBi2, relaxed; values from VASP
&SYSTEM
  ibrav = 0, nat = 7, ntyp = 3
/
ATOMIC_SPECIES
Sc 44.96 Sc.upf
Hg 200.59 Hg.upf
Bi 208.98 Bi.upf
CELL_PARAMETERS angstrom
4.0304 -5.7967 0.0000
4.0304 5.7967 0.0000
0.0000 0.0000 4.0736
ATOMIC_POSITIONS crystal
Sc 0.1754 0.8246 0.0000
Sc 0.2102 0.2102 0.5000
Sc 0.7898 0.7898 0.5000
Sc 0.8246 0.1754 0.0000
Hg 0.5000 0.5000 0.0000
Bi 0.0000 0.5000 0.5000
Bi 0.5000 0.0000 0.5000
! **Crystal system**: orthorhombic
! **Total DFT energy (no corrections)**: -5.053 eV per atom
! **Space-group type**: Cmmm, No. 65

---

Record 3
! PBE TlHgBiSe3, relaxed; values from VASP
&SYSTEM
  ibrav = 0, nat = 12, ntyp = 4
/
ATOMIC_SPECIES
Tl 204.38 Tl.upf
Hg 200.59 Hg.upf
Bi 208.98 Bi.upf
Se 78.96 Se.upf
CELL_PARAMETERS angstrom
2.1696 -7.2161 0.0000
2.1696 7.2161 0.0000
0.0000 0.0000 11.3326
ATOMIC_POSITIONS crystal
Tl 0.2437 0.7563 0.7500
Tl 0.7563 0.2437 0.2500
Hg 0.0508 0.9492 0.2500
Hg 0.9492 0.0508 0.7500
Bi 0.5000 0.5000 0.0000
Bi 0.5000 0.5000 0.5000
Se 0.1389 0.8611 0.0446
Se 0.1389 0.8611 0.4554
Se 0.4267 0.5733 0.2500
Se 0.5733 0.4267 0.7500
Se 0.8611 0.1389 0.5446
Se 0.8611 0.1389 0.9554
! **Crystal system**: orthorhombic
! **Total DFT energy (no corrections)**: -3.167 eV per atom
! **Space-group type**: Cmcm, No. 63

---

Record 4
! PBE SiHgBi2, relaxed; values from VASP
&SYSTEM
  ibrav = 0, nat = 4, ntyp = 3
/
ATOMIC_SPECIES
Si 28.09 Si.upf
Hg 200.59 Hg.upf
Bi 208.98 Bi.upf
CELL_PARAMETERS angstrom
0.0000 3.7627 3.7627
3.7627 0.0000 3.7627
3.7627 3.7627 0.0000
ATOMIC_POSITIONS crystal
Si 0.0000 0.0000 0.0000
Hg 0.7500 0.7500 0.7500
Bi 0.2500 0.2500 0.2500
Bi 0.5000 0.5000 0.5000
! **Crystal system**: cubic
! **Total DFT energy (no corrections)**: -3.028 eV per atom
! **Space-group type**: F-43m, No. 216